# 1
Below is an optimized crystal structure of Pm2Nd7Y3, with properties calculated at the GGA-PBE level.

As for the calculated total energy: -59.63 eV per cell. The distance to the lowest polymorph of the same formula is 0.138 eV per atom. Its formation energy is 0.220 eV per atom. Its total magnetic moment is 0.00 Bohr magnetons per cell.

It has space group P2/m (No. 10), with a = 3.7233 Å, b = 5.6925 Å, c = 20.8579 Å, α = 90.00°, β = 95.15° and γ = 90.00°. The distinct sites, in fractional coordinates, are Pm at (0.1407, 0.0000, 0.2784), Nd at (0.0875, 0.5000, 0.1735), Nd at (0.2160, 0.0000, 0.4324), Nd at (0.4321, 0.0000, 0.8657), Nd at (0.5000, 0.5000, 0.0000), Y at (0.0000, 0.0000, 0.0000) and Y at (0.3271, 0.5000, 0.6567).

***

# 2
Below is an optimized crystal structure of Sc2BeZn, with properties calculated at the GGA-PBE level.

As for the calculated total energy: -65.85 eV per cell. The distance to the lowest polymorph of the same formula is 0.511 eV per atom. Its formation energy is 0.300 eV per atom. Its total magnetic moment is 0.00 Bohr magnetons per cell.

It has space group I-42d (No. 122), with a = 7.1426 Å, b = 7.1426 Å, c = 6.0719 Å, α = 90.00°, β = 90.00° and γ = 90.00°. The distinct sites, in fractional coordinates, are Sc at (0.2291, 0.2500, 0.1250), Be at (0.0000, 0.0000, 0.0000) and Zn at (0.0000, 0.0000, 0.5000).

***

# 3
Below is an optimized crystal structure of LiBiN2F, with properties calculated at the GGA-PBE level.

As for the calculated total energy: -22.26 eV per cell. The distance to the lowest polymorph of the same formula is 0.014 eV per atom. Its uncorrected formation energy is 0.41 eV per atom. Its total magnetic moment is 0.00 Bohr magnetons per cell.

It has space group P4/mmm (No. 123), with a = 3.8176 Å, b = 3.8176 Å, c = 3.8315 Å, α = 90.00°, β = 90.00° and γ = 90.00°. The distinct sites, in fractional coordinates, are Li at (0.0000, 0.0000, 0.0000), Bi at (0.5000, 0.5000, 0.5000), N at (0.0000, 0.5000, 0.0000) and F at (0.0000, 0.0000, 0.5000).

***

# 4
Below is an optimized crystal structure of Tb2MgAs, with properties calculated at the GGA-PBE level.

As for the calculated total energy: -51.04 eV per cell. The distance to the lowest polymorph of the same formula is 0.251 eV per atom. Its formation energy is -0.377 eV per atom. Its total magnetic moment is 0.01 Bohr magnetons per cell.

It has space group R-3m (No. 166, hexagonal axes), with a = 3.8452 Å, b = 3.8452 Å, c = 30.4157 Å, α = 90.00°, β = 90.00° and γ = 120.00°. The distinct sites, in fractional coordinates, are Tb at (0.0000, 0.0000, 0.1103), Mg at (0.0000, 0.0000, 0.0000) and As at (0.0000, 0.0000, 0.5000).

***

| no. | D(E_F) (states/eV/f.u.) |
| --- | --- |
| 1 | 19.82 |
| 2 | 4.46 |
| 3 | 3.02 |
| 4 | 4.73 |